First-principles (PBE-GGA) data for crystalline PrHoIrAu at its relaxed geometry, as listed in Alexandria.

## Properties
Energy: -6.089 eV per atom
DOS at the Fermi energy: 12.19 states/eV/cell
Crystal system: cubic

Unit cell a=7.1565 b=7.1565 c=7.1565 alpha=90.00 beta=90.00 gamma=90.00
Space group F-43m (No. 216)
Inequivalent atoms, fractional coordinates:
1 Pr 0.0000 0.0000 0.0000 x4
2 Ho 0.0000 0.0000 0.5000 x4
3 Ir 0.2500 0.2500 0.7500 x4
4 Au 0.2500 0.2500 0.2500 x4

=====

First-principles (PBE-GGA) data for crystalline HoPuIrAu at its relaxed geometry, as listed in Alexandria.

## Properties
Energy: -8.344 eV per atom
DOS at the Fermi energy: 44.52 states/eV/cell
Crystal system: cubic

Unit cell a=7.0303 b=7.0303 c=7.0303 alpha=90.00 beta=90.00 gamma=90.00
Space group F-43m (No. 216)
Inequivalent atoms, fractional coordinates:
1 Ho 0.0000 0.0000 0.0000 x4
2 Pu 0.0000 0.0000 0.5000 x4
3 Ir 0.2500 0.2500 0.7500 x4
4 Au 0.2500 0.2500 0.2500 x4

=====

First-principles (PBE-GGA) data for crystalline HoScIrAu at its relaxed geometry, as listed in Alexandria.

## Properties
Energy: -6.591 eV per atom
DOS at the Fermi energy: 13.26 states/eV/cell
Crystal system: cubic

Unit cell a=6.8252 b=6.8252 c=6.8252 alpha=90.00 beta=90.00 gamma=90.00
Space group F-43m (No. 216)
Inequivalent atoms, fractional coordinates:
1 Ho 0.0000 0.0000 0.0000 x4
2 Sc 0.0000 0.0000 0.5000 x4
3 Ir 0.2500 0.2500 0.7500 x4
4 Au 0.2500 0.2500 0.2500 x4

=====

First-principles (PBE-GGA) data for crystalline HoSnIrAu at its relaxed geometry, as listed in Alexandria.

## Properties
Energy: -5.694 eV per atom
DOS at the Fermi energy: 4.66 states/eV/cell
Crystal system: cubic

Unit cell a=6.8408 b=6.8408 c=6.8408 alpha=90.00 beta=90.00 gamma=90.00
Space group F-43m (No. 216)
Inequivalent atoms, fractional coordinates:
1 Ho 0.0000 0.0000 0.0000 x4
2 Sn 0.0000 0.0000 0.5000 x4
3 Ir 0.2500 0.2500 0.2500 x4
4 Au 0.2500 0.2500 0.7500 x4

=====

First-principles (PBE-GGA) data for crystalline HoThIrAu at its relaxed geometry, as listed in Alexandria.

## Properties
Energy: -6.779 eV per atom
DOS at the Fermi energy: 12.36 states/eV/cell
Crystal system: cubic
Energy relative to the lowest polymorph listed for this composition: 40 meV/atom

Unit cell a=7.1733 b=7.1733 c=7.1733 alpha=90.00 beta=90.00 gamma=90.00
Space group F-43m (No. 216)
Inequivalent atoms, fractional coordinates:
1 Ho 0.0000 0.0000 0.0000 x4
2 Th 0.0000 0.0000 0.5000 x4
3 Ir 0.2500 0.2500 0.7500 x4
4 Au 0.2500 0.2500 0.2500 x4

=====

First-principles (PBE-GGA) data for crystalline HoThIrAu at its relaxed geometry, as listed in Alexandria.

## Properties
Energy: -6.819 eV per atom
DOS at the Fermi energy: 2.14 states/eV/cell
Crystal system: monoclinic
Energy relative to the lowest polymorph listed for this composition: 0 meV/atom

Unit cell a=4.1212 b=4.1211 c=5.9740 alpha=90.00 beta=90.05 gamma=90.00
Space group Pm (No. 6)
Inequivalent atoms, fractional coordinates:
1 Ho 0.0000 0.0000 0.0000 x1
2 Th 0.4980 0.5000 0.5031 x1
3 Ir 0.9982 0.0000 0.5014 x1
4 Au 0.5001 0.5000 0.0033 x1

=====

First-principles (PBE-GGA) data for crystalline YHoIrAu at its relaxed geometry, as listed in Alexandria.

## Properties
Energy: -6.624 eV per atom
DOS at the Fermi energy: 14.11 states/eV/cell
Crystal system: cubic
Energy relative to the lowest polymorph listed for this composition: 14 meV/atom

Unit cell a=7.0171 b=7.0171 c=7.0171 alpha=90.00 beta=90.00 gamma=90.00
Space group F-43m (No. 216)
Inequivalent atoms, fractional coordinates:
1 Y 0.0000 0.0000 0.0000 x4
2 Ho 0.0000 0.0000 0.5000 x4
3 Ir 0.2500 0.2500 0.2500 x4
4 Au 0.2500 0.2500 0.7500 x4

=====

First-principles (PBE-GGA) data for crystalline YHoIrAu at its relaxed geometry, as listed in Alexandria.

## Properties
Energy: -6.638 eV per atom
DOS at the Fermi energy: 4.86 states/eV/cell
Crystal system: tetragonal
Energy relative to the lowest polymorph listed for this composition: 0 meV/atom

Unit cell a=3.5167 b=3.5167 c=7.0269 alpha=90.00 beta=90.00 gamma=90.00
Space group P4mm (No. 99)
Inequivalent atoms, fractional coordinates:
1 Y 0.0000 0.0000 0.0000 x1
2 Ho 0.0000 0.0000 0.5332 x1
3 Ir 0.5000 0.5000 0.7625 x1
4 Au 0.5000 0.5000 0.2705 x1

=====

First-principles (PBE-GGA) data for crystalline HoZnIrAu at its relaxed geometry, as listed in Alexandria.

## Properties
Energy: -4.967 eV per atom
DOS at the Fermi energy: 9.14 states/eV/cell
Crystal system: cubic

Unit cell a=6.6497 b=6.6497 c=6.6497 alpha=90.00 beta=90.00 gamma=90.00
Space group F-43m (No. 216)
Inequivalent atoms, fractional coordinates:
1 Ho 0.0000 0.0000 0.0000 x4
2 Zn 0.0000 0.0000 0.5000 x4
3 Ir 0.2500 0.2500 0.7500 x4
4 Au 0.2500 0.2500 0.2500 x4

=====

First-principles (PBE-GGA) data for crystalline KHoAu2 at its relaxed geometry, as listed in Alexandria.

## Properties
Energy: -3.654 eV per atom
DOS at the Fermi energy: 2.12 states/eV/cell
Crystal system: tetragonal

Unit cell a=3.6676 b=3.6676 c=8.1233 alpha=90.00 beta=90.00 gamma=90.00
Space group P4/mmm (No. 123)
Inequivalent atoms, fractional coordinates:
1 K 0.0000 0.0000 0.0000 x1
2 Ho 0.0000 0.0000 0.5000 x1
3 Au 0.5000 0.5000 0.3132 x2

=====

First-principles (PBE-GGA) data for crystalline K2Ho2AuO6 at its relaxed geometry, as listed in Alexandria.

## Properties
Energy: -6.011 eV per atom
DOS at the Fermi energy: 0.17 states/eV/cell
Crystal system: monoclinic

Unit cell a=5.8222 b=10.2008 c=6.6051 alpha=90.00 beta=105.08 gamma=90.00
Space group C2/m (No. 12)
Inequivalent atoms, fractional coordinates:
1 K 0.0000 0.1594 0.0000 x4
2 Ho 0.0000 0.3336 0.5000 x4
3 Au 0.0000 0.0000 0.5000 x2
4 O 0.2188 0.1694 0.6827 x8
5 O 0.2468 0.5000 0.6686 x4

=====

First-principles (PBE-GGA) data for crystalline KHo2AuS4 at its relaxed geometry, as listed in Alexandria.

## Properties
Energy: -5.295 eV per atom
Crystal system: orthorhombic

Unit cell a=4.0143 b=13.5151 c=14.0900 alpha=90.00 beta=90.00 gamma=90.00
Space group Cmcm (No. 63)
Inequivalent atoms, fractional coordinates:
1 K 0.0000 0.1205 0.2500 x4
2 Ho 0.0000 0.3689 0.0673 x8
3 Au 0.0000 0.1597 0.7500 x4
4 S 0.0000 0.0000 0.0000 x4
5 S 0.0000 0.2631 0.6017 x8
6 S 0.0000 0.4489 0.2500 x4

=====

First-principles (PBE-GGA) data for crystalline K2HoSb4Au3 at its relaxed geometry, as listed in Alexandria.

## Properties
Energy: -3.782 eV per atom
DOS at the Fermi energy: 1.88 states/eV/cell
Crystal system: tetragonal

Unit cell a=4.7999 b=4.7999 c=12.2684 alpha=90.00 beta=90.00 gamma=90.00
Space group P-4m2 (No. 115)
Inequivalent atoms, fractional coordinates:
1 K 0.0000 0.5000 0.2425 x2
2 Ho 0.0000 0.0000 0.5000 x1
3 Sb 0.0000 0.0000 0.0000 x1
4 Sb 0.0000 0.5000 0.6436 x2
5 Sb 0.5000 0.5000 0.0000 x1
6 Au 0.0000 0.5000 0.8705 x2
7 Au 0.5000 0.5000 0.5000 x1

=====

First-principles (PBE-GGA) data for crystalline KHoSb2Au2 at its relaxed geometry, as listed in Alexandria.

## Properties
Energy: -4.100 eV per atom
DOS at the Fermi energy: 1.87 states/eV/cell
Crystal system: trigonal

Unit cell a=4.6521 b=4.6521 c=9.1931 alpha=90.00 beta=90.00 gamma=120.00
Space group P-3m1 (No. 164)
Inequivalent atoms, fractional coordinates:
1 K 0.0000 0.0000 0.0000 x1
2 Ho 0.0000 0.0000 0.5000 x1
3 Sb 0.3333 0.6667 0.7288 x2
4 Au 0.3333 0.6667 0.3309 x2

=====

First-principles (PBE-GGA) data for crystalline KHoAuSe2 at its relaxed geometry, as listed in Alexandria.

## Properties
Energy: -4.278 eV per atom
DOS at the Fermi energy: 4.92 states/eV/cell
Crystal system: monoclinic

Unit cell a=7.6504 b=4.9397 c=7.9011 alpha=90.00 beta=97.91 gamma=90.00
Space group P2/c (No. 13)
Inequivalent atoms, fractional coordinates:
1 K 0.0000 0.1189 0.2500 x2
2 Ho 0.5000 0.4939 0.7500 x2
3 Au 0.5000 0.0000 0.0000 x2
4 Se 0.2481 0.3644 0.9685 x4

=====

First-principles (PBE-GGA) data for crystalline KHo2Te4Au at its relaxed geometry, as listed in Alexandria.

## Properties
Energy: -4.373 eV per atom
Crystal system: orthorhombic

Unit cell a=4.4009 b=15.0127 c=15.6980 alpha=90.00 beta=90.00 gamma=90.00
Space group Cmcm (No. 63)
Inequivalent atoms, fractional coordinates:
1 K 0.0000 0.1318 0.2500 x4
2 Ho 0.0000 0.3703 0.0730 x8
3 Te 0.0000 0.0000 0.0000 x4
4 Te 0.0000 0.2664 0.6053 x8
5 Te 0.0000 0.4556 0.2500 x4
6 Au 0.0000 0.1559 0.7500 x4

=====

First-principles (PBE-GGA) data for crystalline KHoTe2Au at its relaxed geometry, as listed in Alexandria.

## Properties
Energy: -3.913 eV per atom
DOS at the Fermi energy: 5.20 states/eV/cell
Crystal system: monoclinic

Unit cell a=8.4288 b=4.8141 c=8.4019 alpha=90.00 beta=96.07 gamma=90.00
Space group P2/c (No. 13)
Inequivalent atoms, fractional coordinates:
1 K 0.0000 0.1125 0.2500 x2
2 Ho 0.5000 0.4964 0.7500 x2
3 Te 0.2468 0.3631 0.9750 x4
4 Au 0.5000 0.0000 0.0000 x2

=====

First-principles (PBE-GGA) data for crystalline La2HoAu2 at its relaxed geometry, as listed in Alexandria.

## Properties
Energy: -4.863 eV per atom
DOS at the Fermi energy: 11.10 states/eV/cell
Crystal system: tetragonal

Unit cell a=8.3912 b=8.3912 c=4.0091 alpha=90.00 beta=90.00 gamma=90.00
Space group P4/mbm (No. 127)
Inequivalent atoms, fractional coordinates:
1 La 0.1674 0.3326 0.0000 x4
2 Ho 0.0000 0.0000 0.5000 x2
3 Au 0.1314 0.6314 0.5000 x4

=====

First-principles (PBE-GGA) data for crystalline LaHo2Au6 at its relaxed geometry, as listed in Alexandria.

## Properties
Energy: -4.512 eV per atom
DOS at the Fermi energy: 8.32 states/eV/cell
Crystal system: orthorhombic

Unit cell a=3.6970 b=7.6837 c=14.6909 alpha=90.00 beta=90.00 gamma=90.00
Space group Immm (No. 71)
Inequivalent atoms, fractional coordinates:
1 La 0.0000 0.0000 0.0000 x2
2 Ho 0.0000 0.5000 0.1417 x4
3 Au 0.0000 0.1801 0.5000 x4
4 Au 0.0000 0.3100 0.3220 x8

=====

First-principles (PBE-GGA) data for crystalline La2Ho3Au4 at its relaxed geometry, as listed in Alexandria.

## Properties
Energy: -4.844 eV per atom
DOS at the Fermi energy: 18.34 states/eV/cell
Crystal system: monoclinic

Unit cell a=7.8404 b=7.6621 c=8.5245 alpha=90.00 beta=110.83 gamma=90.00
Space group P2_1/c (No. 14)
Inequivalent atoms, fractional coordinates:
1 La 0.1922 0.1707 0.0909 x4
2 Ho 0.2457 0.6508 0.2512 x4
3 Ho 0.5000 0.0000 0.5000 x2
4 Au 0.0982 0.5487 0.8792 x4
5 Au 0.4842 0.6346 0.6252 x4